1.
A plane-wave DFT calculation with meta-GGA SCAN was carried out for a PBEsol-optimized structure of Sc3CoBr.

energy: -15.679 eV/atom
D(E_F): 3.6 states/eV/f.u.

a = 4.834 Å, b = 4.834 Å, c = 4.834 Å
α = 90.00°, β = 90.00°, γ = 90.00°
Space group Pm-3m (No. 221)
Symmetry-distinct sites (fractional):
Sc1 0.000 0.000 0.500 [3 per cell]
Co1 0.500 0.500 0.500 [1 per cell]
Br1 0.000 0.000 0.000 [1 per cell]

---

2.
A plane-wave DFT calculation with meta-GGA SCAN was carried out for a PBEsol-optimized structure of ScCo2Br.

energy: -16.583 eV/atom
D(E_F): 1.6 states/eV/f.u.
distance to the lowest polymorph of the same formula: 0.228 eV per atom

a = 6.110 Å, b = 6.110 Å, c = 6.110 Å
α = 90.00°, β = 90.00°, γ = 90.00°
Space group Fm-3m (No. 225)
Symmetry-distinct sites (fractional):
Sc1 0.000 0.000 0.000 [4 per cell]
Co1 0.250 0.250 0.250 [8 per cell]
Br1 0.000 0.000 0.500 [4 per cell]

---

3.
A plane-wave DFT calculation with meta-GGA SCAN was carried out for a PBEsol-optimized structure of Co3SeBr.

energy: -17.791 eV/atom
D(E_F): 1.2 states/eV/f.u.

a = 4.467 Å, b = 4.467 Å, c = 4.467 Å
α = 90.00°, β = 90.00°, γ = 90.00°
Space group Pm-3m (No. 221)
Symmetry-distinct sites (fractional):
Co1 0.000 0.000 0.500 [3 per cell]
Se1 0.000 0.000 0.000 [1 per cell]
Br1 0.500 0.500 0.500 [1 per cell]

---

4.
A plane-wave DFT calculation with meta-GGA SCAN was carried out for a PBEsol-optimized structure of CoSiSeBr2.

energy: -16.882 eV/atom
D(E_F): 1.8 states/eV/f.u.

a = 4.703 Å, b = 4.703 Å, c = 4.697 Å
α = 90.00°, β = 90.00°, γ = 90.00°
Space group P4/mmm (No. 123)
Symmetry-distinct sites (fractional):
Co1 0.000 0.000 0.000 [1 per cell]
Si1 0.500 0.500 0.500 [1 per cell]
Se1 0.000 0.000 0.500 [1 per cell]
Br1 0.000 0.500 0.000 [2 per cell]

---

5.
A plane-wave DFT calculation with meta-GGA SCAN was carried out for a PBEsol-optimized structure of CoSnSeBr2.

energy: -22.580 eV/atom
D(E_F): 1.8 states/eV/f.u.

a = 4.765 Å, b = 4.765 Å, c = 4.830 Å
α = 90.00°, β = 90.00°, γ = 90.00°
Space group P4/mmm (No. 123)
Symmetry-distinct sites (fractional):
Co1 0.000 0.000 0.000 [1 per cell]
Sn1 0.500 0.500 0.500 [1 per cell]
Se1 0.000 0.000 0.500 [1 per cell]
Br1 0.000 0.500 0.000 [2 per cell]

---

6.
A plane-wave DFT calculation with meta-GGA SCAN was carried out for a PBEsol-optimized structure of CoSiBr.

energy: -15.452 eV/atom
D(E_F): 0.8 states/eV/f.u.

a = 2.683 Å, b = 3.288 Å, c = 11.486 Å
α = 90.00°, β = 90.00°, γ = 90.00°
Space group Imm2 (No. 44)
Symmetry-distinct sites (fractional):
Co1 0.000 0.000 0.000 [2 per cell]
Si1 0.000 0.000 0.567 [2 per cell]
Br1 0.000 0.000 0.791 [2 per cell]

---

7.
A plane-wave DFT calculation with meta-GGA SCAN was carried out for a PBEsol-optimized structure of CoSiBr2.

energy: -15.951 eV/atom
D(E_F): 1.8 states/eV/f.u.
distance to the lowest polymorph of the same formula: 0.579 eV per atom

a = 3.722 Å, b = 3.722 Å, c = 11.515 Å
α = 90.00°, β = 90.00°, γ = 90.00°
Space group I-4m2 (No. 119)
Symmetry-distinct sites (fractional):
Co1 0.000 0.000 0.000 [2 per cell]
Si1 0.000 0.500 0.250 [2 per cell]
Br1 0.000 0.000 0.500 [2 per cell]
Br2 0.000 0.500 0.750 [2 per cell]

---

8.
A plane-wave DFT calculation with meta-GGA SCAN was carried out for a PBEsol-optimized structure of Co2SiBr.

energy: -15.532 eV/atom
D(E_F): 3.0 states/eV/f.u.
distance to the lowest polymorph of the same formula: 0.313 eV per atom

a = 3.176 Å, b = 3.176 Å, c = 5.357 Å
α = 90.00°, β = 90.00°, γ = 90.00°
Space group P4mm (No. 99)
Symmetry-distinct sites (fractional):
Co1 0.000 0.000 0.000 [1 per cell]
Co2 0.500 0.500 0.292 [1 per cell]
Si1 0.000 0.000 0.423 [1 per cell]
Br1 0.500 0.500 0.861 [1 per cell]

---

9.
A plane-wave DFT calculation with meta-GGA SCAN was carried out for a PBEsol-optimized structure of CoSiBr2.

energy: -16.125 eV/atom
D(E_F): 2.3 states/eV/f.u.
distance to the lowest polymorph of the same formula: 0.405 eV per atom

a = 3.248 Å, b = 5.930 Å, c = 8.442 Å
α = 90.00°, β = 90.00°, γ = 90.00°
Space group Cmmm (No. 65)
Symmetry-distinct sites (fractional):
Co1 0.000 0.000 0.000 [2 per cell]
Si1 0.000 0.000 0.500 [2 per cell]
Br1 0.000 0.500 0.209 [4 per cell]

---

10.
A plane-wave DFT calculation with meta-GGA SCAN was carried out for a PBEsol-optimized structure of Co2SiBr.

energy: -15.653 eV/atom
D(E_F): 2.2 states/eV/f.u.
distance to the lowest polymorph of the same formula: 0.193 eV per atom

a = 3.611 Å, b = 3.611 Å, c = 5.270 Å
α = 90.00°, β = 90.00°, γ = 90.00°
Space group P4mm (No. 99)
Symmetry-distinct sites (fractional):
Co1 0.000 0.500 0.000 [2 per cell]
Si1 0.000 0.000 0.241 [1 per cell]
Br1 0.500 0.500 0.727 [1 per cell]

---

11.
A plane-wave DFT calculation with meta-GGA SCAN was carried out for a PBEsol-optimized structure of CoSi2Br.

energy: -13.775 eV/atom
D(E_F): 2.3 states/eV/f.u.
distance to the lowest polymorph of the same formula: 0.000 eV per atom

a = 3.051 Å, b = 3.051 Å, c = 7.041 Å
α = 90.00°, β = 90.00°, γ = 90.00°
Space group P4mm (No. 99)
Symmetry-distinct sites (fractional):
Co1 0.000 0.000 0.000 [1 per cell]
Si1 0.000 0.000 0.340 [1 per cell]
Si2 0.500 0.500 0.133 [1 per cell]
Br1 0.500 0.500 0.748 [1 per cell]

---

12.
A plane-wave DFT calculation with meta-GGA SCAN was carried out for a PBEsol-optimized structure of CoSiBr2.

energy: -16.516 eV/atom
D(E_F): 3.1 states/eV/f.u.
distance to the lowest polymorph of the same formula: 0.015 eV per atom

a = 2.965 Å, b = 2.965 Å, c = 8.797 Å
α = 90.00°, β = 90.00°, γ = 90.00°
Space group P4mm (No. 99)
Symmetry-distinct sites (fractional):
Co1 0.000 0.000 0.000 [1 per cell]
Si1 0.500 0.500 0.890 [1 per cell]
Br1 0.000 0.000 0.264 [1 per cell]
Br2 0.500 0.500 0.627 [1 per cell]

---

13.
A plane-wave DFT calculation with meta-GGA SCAN was carried out for a PBEsol-optimized structure of CoSi2Br.

energy: -13.382 eV/atom
D(E_F): 1.5 states/eV/f.u.
distance to the lowest polymorph of the same formula: 0.393 eV per atom

a = 2.983 Å, b = 4.101 Å, c = 4.865 Å
α = 90.00°, β = 90.00°, γ = 90.00°
Space group Pmmm (No. 47)
Symmetry-distinct sites (fractional):
Co1 0.000 0.000 0.000 [1 per cell]
Si1 0.000 0.500 0.500 [1 per cell]
Si2 0.500 0.000 0.500 [1 per cell]
Br1 0.500 0.500 0.000 [1 per cell]

---

14.
A plane-wave DFT calculation with meta-GGA SCAN was carried out for a PBEsol-optimized structure of CoSiBr2.

energy: -15.972 eV/atom
D(E_F): 1.6 states/eV/f.u.
distance to the lowest polymorph of the same formula: 0.559 eV per atom

a = 3.2971 Å, b = 3.2971 Å, c = 26.3180 Å
α = 90.00°, β = 90.00°, γ = 120.00°
Space group R-3m (No. 166, hexagonal axes)
Symmetry-distinct sites (fractional):
Co1 0.0000 0.0000 0.0000 [3 per cell]
Si1 0.0000 0.0000 0.5000 [3 per cell]
Br1 0.0000 0.0000 0.0852 [6 per cell]

---

15.
A plane-wave DFT calculation with meta-GGA SCAN was carried out for a PBEsol-optimized structure of Co2SiBr.

energy: -15.846 eV/atom
D(E_F): 1.9 states/eV/f.u.
distance to the lowest polymorph of the same formula: 0.000 eV per atom

a = 3.4871 Å, b = 3.4871 Å, c = 16.5764 Å
α = 90.00°, β = 90.00°, γ = 120.00°
Space group R-3m (No. 166, hexagonal axes)
Symmetry-distinct sites (fractional):
Co1 0.0000 0.0000 0.2218 [6 per cell]
Si1 0.0000 0.0000 0.5000 [3 per cell]
Br1 0.0000 0.0000 0.0000 [3 per cell]

---

16.
A plane-wave DFT calculation with meta-GGA SCAN was carried out for a PBEsol-optimized structure of CoSiBr2.

energy: -16.530 eV/atom
D(E_F): 1.4 states/eV/f.u.
distance to the lowest polymorph of the same formula: 0.000 eV per atom

a = 3.290 Å, b = 3.573 Å, c = 14.208 Å
α = 90.00°, β = 90.00°, γ = 90.00°
Space group Immm (No. 71)
Symmetry-distinct sites (fractional):
Co1 0.000 0.000 0.000 [2 per cell]
Si1 0.000 0.000 0.500 [2 per cell]
Br1 0.000 0.500 0.355 [4 per cell]

---

17.
A plane-wave DFT calculation with meta-GGA SCAN was carried out for a PBEsol-optimized structure of Co2SiBr.

energy: -15.827 eV/atom
D(E_F): 2.6 states/eV/f.u.
distance to the lowest polymorph of the same formula: 0.018 eV per atom

a = 2.801 Å, b = 2.880 Å, c = 6.590 Å
α = 90.00°, β = 90.00°, γ = 90.00°
Space group Pmmm (No. 47)
Symmetry-distinct sites (fractional):
Co1 0.000 0.000 0.188 [2 per cell]
Si1 0.500 0.500 0.000 [1 per cell]
Br1 0.500 0.000 0.500 [1 per cell]

---

18.
A plane-wave DFT calculation with meta-GGA SCAN was carried out for a PBEsol-optimized structure of Co2SiBr.

energy: -15.537 eV/atom
D(E_F): 2.3 states/eV/f.u.
distance to the lowest polymorph of the same formula: 0.308 eV per atom

a = 4.955 Å, b = 4.955 Å, c = 11.090 Å
α = 90.00°, β = 90.00°, γ = 90.00°
Space group I-42d (No. 122)
Symmetry-distinct sites (fractional):
Co1 0.227 0.250 0.125 [8 per cell]
Si1 0.000 0.000 0.000 [4 per cell]
Br1 0.000 0.000 0.500 [4 per cell]

---

19.
A plane-wave DFT calculation with meta-GGA SCAN was carried out for a PBEsol-optimized structure of Co2SiBr.

energy: -15.273 eV/atom
D(E_F): 1.9 states/eV/f.u.
distance to the lowest polymorph of the same formula: 0.572 eV per atom

a = 5.883 Å, b = 5.940 Å, c = 2.860 Å
α = 90.00°, β = 90.00°, γ = 90.00°
Space group Cmmm (No. 65)
Symmetry-distinct sites (fractional):
Co1 0.250 0.250 0.000 [4 per cell]
Si1 0.000 0.000 0.500 [2 per cell]
Br1 0.000 0.500 0.500 [2 per cell]

---

20.
A plane-wave DFT calculation with meta-GGA SCAN was carried out for a PBEsol-optimized structure of CoSi2Br.

energy: -13.181 eV/atom
D(E_F): 2.2 states/eV/f.u.
distance to the lowest polymorph of the same formula: 0.594 eV per atom

a = 4.633 Å, b = 4.633 Å, c = 2.817 Å
α = 90.00°, β = 90.00°, γ = 90.00°
Space group P4/mmm (No. 123)
Symmetry-distinct sites (fractional):
Co1 0.000 0.000 0.000 [1 per cell]
Si1 0.000 0.500 0.500 [2 per cell]
Br1 0.500 0.500 0.000 [1 per cell]

---

21.
A plane-wave DFT calculation with meta-GGA SCAN was carried out for a PBEsol-optimized structure of CoSiBr2.

energy: -15.707 eV/atom
D(E_F): 4.4 states/eV/f.u.
distance to the lowest polymorph of the same formula: 0.824 eV per atom

a = 6.588 Å, b = 6.588 Å, c = 6.588 Å
α = 90.00°, β = 90.00°, γ = 90.00°
Space group Fm-3m (No. 225)
Symmetry-distinct sites (fractional):
Co1 0.000 0.000 0.000 [4 per cell]
Si1 0.000 0.000 0.500 [4 per cell]
Br1 0.250 0.250 0.250 [8 per cell]

---

22.
A plane-wave DFT calculation with meta-GGA SCAN was carried out for a PBEsol-optimized structure of CoSiBr2.

energy: -16.459 eV/atom
D(E_F): 0.8 states/eV/f.u.
distance to the lowest polymorph of the same formula: 0.071 eV per atom

a = 11.043 Å, b = 3.492 Å, c = 4.661 Å
α = 90.00°, β = 90.06°, γ = 90.00°
Space group Cm (No. 8)
Symmetry-distinct sites (fractional):
Co1 0.000 0.000 0.000 [2 per cell]
Si1 0.382 0.000 0.000 [2 per cell]
Br1 0.158 0.500 0.001 [2 per cell]
Br2 0.435 0.500 0.500 [2 per cell]

---

23.
A plane-wave DFT calculation with meta-GGA SCAN was carried out for a PBEsol-optimized structure of SrCoBr2.

energy: -20.257 eV/atom
D(E_F): 2.8 states/eV/f.u.
distance to the lowest polymorph of the same formula: 0.000 eV per atom

a = 4.3005 Å, b = 4.3005 Å, c = 16.8605 Å
α = 90.00°, β = 90.00°, γ = 120.00°
Space group R-3m (No. 166, hexagonal axes)
Symmetry-distinct sites (fractional):
Sr1 0.0000 0.0000 0.0000 [3 per cell]
Co1 0.0000 0.0000 0.5000 [3 per cell]
Br1 0.0000 0.0000 0.2296 [6 per cell]

---

24.
A plane-wave DFT calculation with meta-GGA SCAN was carried out for a PBEsol-optimized structure of SrCoBr2.

energy: -20.234 eV/atom
D(E_F): 1.0 states/eV/f.u.
distance to the lowest polymorph of the same formula: 0.023 eV per atom

a = 4.827 Å, b = 4.827 Å, c = 3.793 Å
α = 90.00°, β = 90.00°, γ = 90.00°
Space group P4/mmm (No. 123)
Symmetry-distinct sites (fractional):
Sr1 0.000 0.000 0.000 [1 per cell]
Co1 0.500 0.500 0.000 [1 per cell]
Br1 0.000 0.500 0.500 [2 per cell]

---

25.
A plane-wave DFT calculation with meta-GGA SCAN was carried out for a PBEsol-optimized structure of Sr3CoBr.

energy: -20.722 eV/atom
D(E_F): 5.7 states/eV/f.u.

a = 5.782 Å, b = 5.782 Å, c = 5.782 Å
α = 90.00°, β = 90.00°, γ = 90.00°
Space group Pm-3m (No. 221)
Symmetry-distinct sites (fractional):
Sr1 0.000 0.000 0.500 [3 per cell]
Co1 0.500 0.500 0.500 [1 per cell]
Br1 0.000 0.000 0.000 [1 per cell]

---

26.
A plane-wave DFT calculation with meta-GGA SCAN was carried out for a PBEsol-optimized structure of SrCo2Br.

energy: -18.940 eV/atom
D(E_F): 2.0 states/eV/f.u.

a = 3.614 Å, b = 4.246 Å, c = 5.260 Å
α = 90.00°, β = 90.00°, γ = 90.00°
Space group Pmmm (No. 47)
Symmetry-distinct sites (fractional):
Sr1 0.000 0.000 0.000 [1 per cell]
Co1 0.000 0.500 0.500 [1 per cell]
Co2 0.500 0.000 0.500 [1 per cell]
Br1 0.500 0.500 0.000 [1 per cell]

---

27.
A plane-wave DFT calculation with meta-GGA SCAN was carried out for a PBEsol-optimized structure of TaCo4Br.

energy: -25.264 eV/atom
D(E_F): 5.2 states/eV/f.u.

a = 6.726 Å, b = 6.726 Å, c = 6.726 Å
α = 90.00°, β = 90.00°, γ = 90.00°
Space group F-43m (No. 216)
Symmetry-distinct sites (fractional):
Ta1 0.000 0.000 0.000 [4 per cell]
Co1 0.126 0.126 0.374 [16 per cell]
Br1 0.250 0.250 0.750 [4 per cell]

---

28.
A plane-wave DFT calculation with meta-GGA SCAN was carried out for a PBEsol-optimized structure of CoTe2Br.

energy: -27.631 eV/atom
D(E_F): 2.8 states/eV/f.u.
distance to the lowest polymorph of the same formula: 0.367 eV per atom

a = 3.264 Å, b = 3.264 Å, c = 7.910 Å
α = 90.00°, β = 90.00°, γ = 90.00°
Space group P4/mmm (No. 123)
Symmetry-distinct sites (fractional):
Co1 0.000 0.000 0.000 [1 per cell]
Te1 0.500 0.500 0.188 [2 per cell]
Br1 0.000 0.000 0.500 [1 per cell]

---

29.
A plane-wave DFT calculation with meta-GGA SCAN was carried out for a PBEsol-optimized structure of Co2Te2Br.

energy: -25.842 eV/atom
D(E_F): 1.6 states/eV/f.u.

a = 3.672 Å, b = 3.672 Å, c = 15.362 Å
α = 90.00°, β = 90.00°, γ = 90.00°
Space group I4/mmm (No. 139)
Symmetry-distinct sites (fractional):
Co1 0.000 0.500 0.250 [4 per cell]
Te1 0.000 0.000 0.145 [4 per cell]
Br1 0.000 0.000 0.500 [2 per cell]

---

30.
A plane-wave DFT calculation with meta-GGA SCAN was carried out for a PBEsol-optimized structure of Co2TeBr.

energy: -22.390 eV/atom
D(E_F): 4.0 states/eV/f.u.

a = 6.329 Å, b = 3.668 Å, c = 6.270 Å
α = 90.00°, β = 109.82°, γ = 90.00°
Space group C2/m (No. 12)
Symmetry-distinct sites (fractional):
Co1 0.237 0.000 0.212 [4 per cell]
Te1 0.000 0.500 0.000 [2 per cell]
Br1 0.000 0.000 0.500 [2 per cell]